{"formula": "UBi2RhO8", "functional": "PBE", "state": "optimized geometry", "lattice": [[5.166, 0.000, 0.000], [0.000, 6.719, 0.000], [-0.107, 0.000, 5.177]], "species": ["U", "Bi", "Bi", "Rh", "O", "O", "O", "O", "O", "O", "O", "O"], "frac_coords": [[0.000, 0.000, 0.000], [0.500, 0.261, 0.500], [0.500, 0.739, 0.500], [0.000, 0.500, 0.000], [0.177, 0.249, 0.825], [0.177, 0.751, 0.825], [0.272, 0.500, 0.274], [0.288, 0.000, 0.290], [0.712, 0.000, 0.710], [0.728, 0.500, 0.726], [0.823, 0.249, 0.175], [0.823, 0.751, 0.175]], "crystal_system": "monoclinic", "raw_formation_energy_ev_per_atom": -1.63}